SiTc2Au after structural relaxation. Source: Alexandria, functional PBEsol.

The structure in POSCAR format:
```
SiTc2Au
1.0
2.790 0.000 0.000
-1.395 2.416 0.000
0.000 0.000 25.836
Si Tc Au
3 6 3
Direct
0.000 0.000 0.000 Si
0.333 0.667 0.667 Si
0.667 0.333 0.333 Si
0.000 0.000 0.489 Tc
0.000 0.000 0.743 Tc
0.333 0.667 0.155 Tc
0.333 0.667 0.410 Tc
0.667 0.333 0.077 Tc
0.667 0.333 0.822 Tc
0.000 0.000 0.249 Au
0.333 0.667 0.915 Au
0.667 0.333 0.582 Au
```

Values from the calculation:
- Formation energy without anion corrections: 0.015 eV per atom
- Volume: 14.52 A^3/atom
- ρ: 12.042 Mg/m³
- Uncorrected energy: -8.035 eV per atom
- Crystal system: trigonal

SiTeAu3 after structural relaxation. Source: Alexandria, functional PBEsol.

The structure in POSCAR format:
```
SiTeAu3
1.0
5.120 0.000 0.000
0.000 5.120 0.000
0.000 0.000 5.120
Si Te Au
1 1 3
Direct
0.000 0.000 0.000 Si
0.500 0.500 0.500 Te
0.000 0.500 0.500 Au
0.500 0.000 0.500 Au
0.500 0.500 0.000 Au
```

Values from the calculation:
- Formation energy without anion corrections: 1.063 eV per atom
- Volume: 26.85 A^3/atom
- ρ: 9.236 Mg/m³
- Uncorrected energy: -3.146 eV per atom
- Crystal system: cubic

SiTeAu after structural relaxation. Source: Alexandria, functional PBEsol.

The structure in POSCAR format:
```
SiTeAu
1.0
6.535 0.000 0.000
0.000 6.535 0.000
0.000 0.000 6.535
Si Te Au
4 4 4
Direct
0.000 0.000 0.000 Si
0.000 0.500 0.500 Si
0.500 0.000 0.500 Si
0.500 0.500 0.000 Si
0.000 0.000 0.500 Te
0.000 0.500 0.000 Te
0.500 0.000 0.000 Te
0.500 0.500 0.500 Te
0.250 0.250 0.250 Au
0.250 0.750 0.750 Au
0.750 0.250 0.750 Au
0.750 0.750 0.250 Au
```

Values from the calculation:
- Formation energy without anion corrections: 0.318 eV per atom
- Volume: 23.26 A^3/atom
- ρ: 8.393 Mg/m³
- Uncorrected energy: -4.081 eV per atom
- Crystal system: cubic

SiTe4Au after structural relaxation. Source: Alexandria, functional PBEsol.

The structure in POSCAR format:
```
SiTe4Au
1.0
0.000 4.331 4.331
4.331 0.000 4.331
4.331 4.331 0.000
Si Te Au
1 4 1
Direct
0.000 0.000 0.000 Si
0.376 0.376 0.376 Te
0.376 0.376 0.873 Te
0.376 0.873 0.376 Te
0.873 0.376 0.376 Te
0.750 0.750 0.750 Au
```

Values from the calculation:
- Formation energy without anion corrections: 0.820 eV per atom
- Volume: 27.08 A^3/atom
- ρ: 7.517 Mg/m³
- Uncorrected energy: -3.143 eV per atom
- Crystal system: cubic

Ti2Si2Au after structural relaxation. Source: Alexandria, functional PBEsol.

The structure in POSCAR format:
```
Ti2Si2Au
1.0
6.394 0.000 0.000
0.000 6.394 0.000
0.000 0.000 3.621
Ti Si Au
4 4 2
Direct
0.171 0.329 0.000 Ti
0.329 0.829 0.000 Ti
0.671 0.171 0.000 Ti
0.829 0.671 0.000 Ti
0.127 0.627 0.500 Si
0.373 0.127 0.500 Si
0.627 0.873 0.500 Si
0.873 0.373 0.500 Si
0.000 0.000 0.500 Au
0.500 0.500 0.500 Au
```

Values from the calculation:
- Formation energy without anion corrections: -0.677 eV per atom
- Volume: 14.81 A^3/atom
- ρ: 7.825 Mg/m³
- Uncorrected energy: -7.090 eV per atom
- Crystal system: tetragonal

SiWAu4 after structural relaxation. Source: Alexandria, functional PBEsol.

The structure in POSCAR format:
```
SiWAu4
1.0
0.000 3.775 3.775
3.775 0.000 3.775
3.775 3.775 0.000
Si W Au
1 1 4
Direct
0.000 0.000 0.000 Si
0.250 0.250 0.250 W
0.125 0.625 0.625 Au
0.625 0.125 0.625 Au
0.625 0.625 0.125 Au
0.625 0.625 0.625 Au
```

Values from the calculation:
- Formation energy without anion corrections: 0.865 eV per atom
- Volume: 17.94 A^3/atom
- ρ: 15.427 Mg/m³
- Uncorrected energy: -5.010 eV per atom
- Crystal system: cubic

Si3WAu after structural relaxation. Source: Alexandria, functional PBEsol.

The structure in POSCAR format:
```
Si3WAu
1.0
4.698 0.000 0.000
0.000 4.698 0.000
0.000 0.000 4.698
Si W Au
3 1 1
Direct
0.000 0.000 0.500 Si
0.000 0.500 0.000 Si
0.500 0.000 0.000 Si
0.000 0.000 0.000 W
0.500 0.500 0.500 Au
```

Values from the calculation:
- Formation energy without anion corrections: 0.754 eV per atom
- Volume: 20.74 A^3/atom
- ρ: 7.446 Mg/m³
- Uncorrected energy: -6.241 eV per atom
- Crystal system: cubic

SiW2Au after structural relaxation. Source: Alexandria, functional PBEsol.

The structure in POSCAR format:
```
SiW2Au
1.0
5.322 0.000 0.000
0.000 8.257 0.000
0.000 0.000 2.757
Si W Au
2 4 2
Direct
0.000 0.000 0.000 Si
0.500 0.500 0.000 Si
0.250 0.250 0.500 W
0.250 0.750 0.500 W
0.750 0.250 0.500 W
0.750 0.750 0.500 W
0.000 0.500 0.000 Au
0.500 0.000 0.000 Au
```

Values from the calculation:
- Formation energy without anion corrections: 0.311 eV per atom
- Volume: 15.14 A^3/atom
- ρ: 16.249 Mg/m³
- Uncorrected energy: -9.010 eV per atom
- Crystal system: orthorhombic

SiWAu2 after structural relaxation. Source: Alexandria, functional PBEsol.

The structure in POSCAR format:
```
SiWAu2
1.0
2.814 0.000 0.000
0.000 4.561 0.000
0.000 0.000 9.719
Si W Au
2 2 4
Direct
0.000 0.000 0.000 Si
0.500 0.500 0.500 Si
0.000 0.000 0.500 W
0.500 0.500 0.000 W
0.000 0.500 0.277 Au
0.000 0.500 0.723 Au
0.500 0.000 0.223 Au
0.500 0.000 0.777 Au
```

Values from the calculation:
- Formation energy without anion corrections: 0.243 eV per atom
- Volume: 15.59 A^3/atom
- ρ: 16.129 Mg/m³
- Uncorrected energy: -6.608 eV per atom
- Crystal system: orthorhombic

SiWAu3 after structural relaxation. Source: Alexandria, functional PBEsol.

The structure in POSCAR format:
```
SiWAu3
1.0
4.596 0.000 0.000
0.000 4.596 0.000
0.000 0.000 4.596
Si W Au
1 1 3
Direct
0.000 0.000 0.000 Si
0.500 0.500 0.500 W
0.000 0.000 0.500 Au
0.000 0.500 0.000 Au
0.500 0.000 0.000 Au
```

Values from the calculation:
- Formation energy without anion corrections: 1.202 eV per atom
- Volume: 19.41 A^3/atom
- ρ: 13.736 Mg/m³
- Uncorrected energy: -5.063 eV per atom
- Crystal system: cubic

SiW3Au after structural relaxation. Source: Alexandria, functional PBEsol.

The structure in POSCAR format:
```
SiW3Au
1.0
4.434 0.000 0.000
0.000 4.434 0.000
0.000 0.000 4.434
Si W Au
1 3 1
Direct
0.000 0.000 0.000 Si
0.000 0.000 0.500 W
0.000 0.500 0.000 W
0.500 0.000 0.000 W
0.500 0.500 0.500 Au
```

Values from the calculation:
- Formation energy without anion corrections: 1.406 eV per atom
- Volume: 17.44 A^3/atom
- ρ: 14.789 Mg/m³
- Uncorrected energy: -8.813 eV per atom
- Crystal system: cubic

SiWAu2 after structural relaxation. Source: Alexandria, functional PBEsol.

The structure in POSCAR format:
```
SiWAu2
1.0
3.057 0.000 0.000
0.000 3.057 0.000
0.000 0.000 6.679
Si W Au
1 1 2
Direct
0.000 0.000 0.000 Si
0.500 0.500 0.198 W
0.000 0.000 0.472 Au
0.500 0.500 0.762 Au
```

Values from the calculation:
- Formation energy without anion corrections: 0.196 eV per atom
- Volume: 15.60 A^3/atom
- ρ: 16.118 Mg/m³
- Uncorrected energy: -6.655 eV per atom
- Crystal system: tetragonal